Record 1
Material: YHgBr2
Method: DFT, PBE
State: optimized geometry

CIF file:
```
data_YHgBr2
_chemical_formula_sum 'Y2 Hg2 Br4'
_cell_length_a 3.506
_cell_length_b 4.999
_cell_length_c 14.931
_cell_angle_alpha 90.00
_cell_angle_beta 90.00
_cell_angle_gamma 90.00
_symmetry_space_group_name_H-M 'I m m 2'
_symmetry_Int_Tables_number 44
loop_
_symmetry_equiv_pos_as_xyz
'x,y,z'
'-x,-y,z'
'-x,y,z'
'x,-y,z'
'x+1/2,y+1/2,z+1/2'
'-x+1/2,-y+1/2,z+1/2'
'-x+1/2,y+1/2,z+1/2'
'x+1/2,-y+1/2,z+1/2'
loop_
_atom_site_label
_atom_site_fract_x
_atom_site_fract_y
_atom_site_fract_z
Y1 0.000 0.000 0.000
Hg1 0.000 0.500 0.314
Br1 0.000 0.000 0.473
Br2 0.000 0.500 0.652
```

D(E_F) in states/eV/atom: 0.430
Total magnetization in μB per cell: 0.000
Relative energy among the computed polymorphs in eV/atom: 0.143
Formation energy without anion corrections in eV per atom: -1.04
Total energy in eV/atom: -3.5681



Record 2
Material: Ce2Tm2Os3
Method: DFT, PBE
State: optimized geometry

CIF file:
```
data_Ce2Tm2Os3
_chemical_formula_sum 'Ce4 Tm4 Os6'
_cell_length_a 10.817
_cell_length_b 4.751
_cell_length_c 6.858
_cell_angle_alpha 90.00
_cell_angle_beta 99.01
_cell_angle_gamma 90.00
_symmetry_space_group_name_H-M 'C 1 2/m 1'
_symmetry_Int_Tables_number 12
loop_
_symmetry_equiv_pos_as_xyz
'x,y,z'
'-x,-y,-z'
'-x,y,-z'
'x,-y,z'
'x+1/2,y+1/2,z'
'-x+1/2,-y+1/2,-z'
'-x+1/2,y+1/2,-z'
'x+1/2,-y+1/2,z'
loop_
_atom_site_label
_atom_site_fract_x
_atom_site_fract_y
_atom_site_fract_z
Ce1 0.133 0.000 0.371
Tm1 0.142 0.500 0.938
Os1 0.000 0.000 0.000
Os2 0.167 0.000 0.722
```

D(E_F) in states/eV/atom: 0.781
Total magnetization in μB per cell: 0.000
Total energy in eV/atom: -7.9168



Record 3
Material: Mg3W
Method: DFT, PBE
State: optimized geometry

CIF file:
```
data_Mg3W
_chemical_formula_sum 'Mg12 W4'
_cell_length_a 6.742
_cell_length_b 6.742
_cell_length_c 6.742
_cell_angle_alpha 90.00
_cell_angle_beta 90.00
_cell_angle_gamma 90.00
_symmetry_space_group_name_H-M 'F m -3 m'
_symmetry_Int_Tables_number 225
_symmetry_space_group_name_Hall '-F 4 2 3'
loop_
_atom_site_label
_atom_site_fract_x
_atom_site_fract_y
_atom_site_fract_z
Mg1 0.000 0.000 0.000
Mg2 0.250 0.250 0.250
W1 0.000 0.000 0.500
```

D(E_F) in states/eV/atom: 0.514
Total magnetization in μB per cell: 7.448
Relative energy among the computed polymorphs in eV/atom: 0.346
Total energy in eV/atom: -3.8036



Which of these has the highest total energy? YHgBr2



What is the formula in the first record? YHgBr2



Repeat the first record exactly.
Material: YHgBr2
Method: DFT, PBE
State: optimized geometry

CIF file:
```
data_YHgBr2
_chemical_formula_sum 'Y2 Hg2 Br4'
_cell_length_a 3.506
_cell_length_b 4.999
_cell_length_c 14.931
_cell_angle_alpha 90.00
_cell_angle_beta 90.00
_cell_angle_gamma 90.00
_symmetry_space_group_name_H-M 'I m m 2'
_symmetry_Int_Tables_number 44
loop_
_symmetry_equiv_pos_as_xyz
'x,y,z'
'-x,-y,z'
'-x,y,z'
'x,-y,z'
'x+1/2,y+1/2,z+1/2'
'-x+1/2,-y+1/2,z+1/2'
'-x+1/2,y+1/2,z+1/2'
'x+1/2,-y+1/2,z+1/2'
loop_
_atom_site_label
_atom_site_fract_x
_atom_site_fract_y
_atom_site_fract_z
Y1 0.000 0.000 0.000
Hg1 0.000 0.500 0.314
Br1 0.000 0.000 0.473
Br2 0.000 0.500 0.652
```

D(E_F) in states/eV/atom: 0.430
Total magnetization in μB per cell: 0.000
Relative energy among the computed polymorphs in eV/atom: 0.143
Formation energy without anion corrections in eV per atom: -1.04
Total energy in eV/atom: -3.5681